DFT (GGA+U) results for a geometry-optimized Na3VSiCO7 structure.

Structure (POSCAR):
```
Na3VSiCO7
1.0
-4.487 -0.541 2.820
3.537 -2.153 5.215
1.087 8.457 2.754
O Si Na V C
14 2 6 2 2
direct
0.061 0.750 0.611
0.590 0.250 0.962
0.939 0.250 0.389
0.323 0.750 0.417
0.677 0.250 0.583
0.870 0.750 0.924
0.784 0.947 0.185
0.216 0.053 0.815
0.525 0.250 0.343
0.216 0.447 0.815
0.475 0.750 0.657
0.130 0.250 0.076
0.410 0.750 0.038
0.784 0.553 0.185
0.286 0.250 0.922
0.714 0.750 0.078
0.268 0.984 0.221
0.732 0.484 0.779
0.732 0.016 0.779
0.268 0.516 0.221
0.225 0.250 0.590
0.775 0.750 0.410
0.792 0.250 0.161
0.208 0.750 0.839
0.713 0.250 0.442
0.287 0.750 0.558
```

- DOS(E_F) (states/eV/f.u.) = 0.00
- calculated total energy (eV for the cell shown) = -175.434
- total magnetization (μB/f.u.) = 2.0